Here is a relaxed structure of CsVInF6 from the Alexandria database. Energies are from GGA+U.

```
CsVInF6
1.0
-3.922 3.977 5.441
3.922 -3.977 5.441
3.922 3.977 -5.441
Cs V In F
2 2 2 12
direct
0.393 0.143 0.250 Cs
0.607 0.857 0.750 Cs
0.000 0.500 0.500 V
0.500 0.500 0.000 V
0.000 0.000 0.500 In
0.000 0.500 0.000 In
0.098 0.848 0.250 F
0.116 0.451 0.312 F
0.116 0.804 0.666 F
0.267 0.517 0.750 F
0.361 0.196 0.812 F
0.361 0.549 0.166 F
0.639 0.451 0.834 F
0.639 0.804 0.188 F
0.733 0.483 0.250 F
0.884 0.196 0.334 F
0.884 0.549 0.688 F
0.902 0.152 0.750 F
```

=====

Here is a relaxed structure of Cs3V2InF9 from the Alexandria database. Energies are from GGA+U.

```
Cs3V2InF9
1.0
6.354 0.000 0.000
-3.177 5.503 0.000
0.000 0.000 8.035
Cs V In F
3 2 1 9
direct
0.000 0.000 0.000 Cs
0.333 0.667 0.657 Cs
0.667 0.333 0.343 Cs
0.333 0.667 0.142 V
0.667 0.333 0.858 V
0.000 0.000 0.500 In
0.000 0.500 0.000 F
0.186 0.371 0.290 F
0.186 0.814 0.290 F
0.371 0.186 0.710 F
0.500 0.000 0.000 F
0.500 0.500 0.000 F
0.629 0.814 0.290 F
0.814 0.186 0.710 F
0.814 0.629 0.710 F
```

=====

no.,uncorrected energy (eV/atom),DOS at the Fermi energy (states/eV/cell)
1,-5.114,2.9
2,-5.114,4.7